No. 1
A geometry-optimized Ca3BW structure. Source: the Alexandria database, functional PBE.

Output
Formation energy   1.280 eV/atom
Distance to the lowest polymorph of the same formula   0.0000 eV/atom

Cell: 5.0867 5.0867 5.0867 Å, 90.00 90.00 90.00°
Positions (direct):
W1 0.5000 0.5000 0.5000
Ca1 0.5000 0.0000 0.0000
Ca2 0.0000 0.5000 0.0000
Ca3 0.0000 0.0000 0.5000
B1 0.0000 0.0000 0.0000

No. 2
A geometry-optimized TaTl2Sb structure. Source: the Alexandria database, functional PBE.

Output
Distance to the lowest polymorph of the same formula   0.3115 eV/atom

Cell: 3.2050 3.2050 9.7607 Å, 90.00 90.00 105.89°
Positions (direct):
Tl1 0.0000 0.0000 0.9814
Tl2 0.0000 0.0000 0.5186
Sb1 0.5000 0.5000 0.2500
Ta1 0.5000 0.5000 0.7500

No. 3
A geometry-optimized CsRbAg structure. Source: the Alexandria database, functional PBE.

Output
Formation energy   0.060 eV/atom
Distance to the lowest polymorph of the same formula   0.0385 eV/atom

Cell: 4.5397 4.5397 9.2917 Å, 104.14 104.14 90.00°
Positions (direct):
Cs1 0.0432 0.0432 0.0864
Rb1 0.2862 0.2862 0.5725
Ag1 0.6706 0.6706 0.3411

No. 4
A geometry-optimized Cr2SiSb structure. Source: the Alexandria database, functional PBE.

Output
Distance to the lowest polymorph of the same formula   0.0320 eV/atom

Cell: 2.9789 2.9789 7.4502 Å, 90.00 90.00 89.99°
Positions (direct):
Sb1 0.0000 0.0000 0.4432
Si1 0.5000 0.5000 0.8413
Cr1 0.5000 0.5000 0.1927
Cr2 0.0000 0.0000 0.0228

Computed N(E_F), in the same sequence as the records: 2.640 0.665 0.820 0.486 states/eV/atom.
Computed DFT total energy, in the same sequence as the records: -3.847 -4.607 -1.498 -7.005 eV/atom.